Entry 1:
Material: Rb2VBSb
Method: DFT, PBE-GGA
State: optimized geometry

```
data_Rb2VBSb
_chemical_formula_sum 'Rb2 V1 B1 Sb1'
_cell_length_a 7.002
_cell_length_b 7.002
_cell_length_c 5.180
_cell_angle_alpha 90.00
_cell_angle_beta 90.00
_cell_angle_gamma 90.00
_space_group_name_H-M_alt 'P 4/m m m'
_space_group_IT_number 123
_space_group_name_Hall '-P 4 2'
loop_
_atom_site_label
_atom_site_fract_x
_atom_site_fract_y
_atom_site_fract_z
Rb1 0.000 0.500 0.000
V1 0.000 0.000 0.500
B1 0.500 0.500 0.500
Sb1 0.000 0.000 0.000
```

For the electronic total energy, the calculation gives -3.083 eV per atom. The calculation puts the uncorrected formation energy at 1.288 eV/atom.

Entry 2:
Material: Cu4Ir2Os
Method: DFT, PBE-GGA
State: optimized geometry

```
data_Cu4Ir2Os
_chemical_formula_sum 'Cu8 Ir4 Os2'
_cell_length_a 4.515
_cell_length_b 4.515
_cell_length_c 12.356
_cell_angle_alpha 90.00
_cell_angle_beta 90.00
_cell_angle_gamma 90.00
_space_group_name_H-M_alt 'I 4/m m m'
_space_group_IT_number 139
_space_group_name_Hall '-I 4 2'
loop_
_atom_site_label
_atom_site_fract_x
_atom_site_fract_y
_atom_site_fract_z
Cu1 0.000 0.000 0.197
Cu2 0.000 0.500 0.000
Ir1 0.000 0.000 0.393
Os1 0.000 0.000 0.000
```

For the electronic total energy, the calculation gives -4.998 eV per atom. Its formation energy is 1.48 eV per atom.

Entry 3:
Material: SmDy6Tm8
Method: DFT, PBE-GGA
State: optimized geometry

```
data_SmDy6Tm8
_chemical_formula_sum 'Sm3 Dy18 Tm24'
_cell_length_a 8.9496
_cell_length_b 8.9496
_cell_length_c 20.3940
_cell_angle_alpha 90.00
_cell_angle_beta 90.00
_cell_angle_gamma 120.00
_space_group_name_H-M_alt 'R -3'
_space_group_IT_number 148
_space_group_name_Hall '-R 3'
loop_
_atom_site_label
_atom_site_fract_x
_atom_site_fract_y
_atom_site_fract_z
Sm1 0.0000 0.0000 0.0000
Dy1 0.0676 0.2475 0.7083
Tm1 0.0000 0.0000 0.4238
Tm2 0.0809 0.5511 0.8090
```

For the electronic total energy, the calculation gives -4.406 eV per atom. Its formation energy is 0.13 eV per atom.

Entry 4:
Material: CaAlMo2
Method: DFT, PBE-GGA
State: optimized geometry

```
data_CaAlMo2
_chemical_formula_sum 'Ca2 Al2 Mo4'
_cell_length_a 3.709
_cell_length_b 4.129
_cell_length_c 9.372
_cell_angle_alpha 90.00
_cell_angle_beta 90.00
_cell_angle_gamma 90.00
_space_group_name_H-M_alt 'C m m m'
_space_group_IT_number 65
_space_group_name_Hall '-C 2 2'
loop_
_atom_site_label
_atom_site_fract_x
_atom_site_fract_y
_atom_site_fract_z
Ca1 0.000 0.000 0.000
Al1 0.000 0.000 0.500
Mo1 0.000 0.500 0.285
```

For the electronic total energy, the calculation gives -6.497 eV per atom. Its formation energy is 0.35 eV per atom.

Entry 5:
Material: Pr2EuO
Method: DFT, PBE-GGA
State: optimized geometry

```
data_Pr2EuO
_chemical_formula_sum 'Pr6 Eu3 O3'
_cell_length_a 3.7629
_cell_length_b 3.7629
_cell_length_c 28.2265
_cell_angle_alpha 90.00
_cell_angle_beta 90.00
_cell_angle_gamma 120.00
_space_group_name_H-M_alt 'R -3 m'
_space_group_IT_number 166
_space_group_name_Hall '-R 3 2"'
loop_
_atom_site_label
_atom_site_fract_x
_atom_site_fract_y
_atom_site_fract_z
Pr1 0.0000 0.0000 0.2153
Eu1 0.0000 0.0000 0.0000
O1 0.0000 0.0000 0.5000
```

For the electronic total energy, the calculation gives -7.408 eV per atom. The calculation puts the uncorrected formation energy at -1.210 eV/atom.

Entry 6:
Material: TlCdOs2
Method: DFT, PBE-GGA
State: optimized geometry

```
data_TlCdOs2
_chemical_formula_sum 'Tl2 Cd2 Os4'
_cell_length_a 4.228
_cell_length_b 4.228
_cell_length_c 7.851
_cell_angle_alpha 90.00
_cell_angle_beta 90.00
_cell_angle_gamma 90.00
_space_group_name_H-M_alt 'I -4 m 2'
_space_group_IT_number 119
_space_group_name_Hall 'I -4 -2'
loop_
_atom_site_label
_atom_site_fract_x
_atom_site_fract_y
_atom_site_fract_z
Tl1 0.000 0.000 0.000
Cd1 0.000 0.500 0.750
Os1 0.000 0.000 0.500
Os2 0.000 0.500 0.250
```

For the electronic total energy, the calculation gives -5.395 eV per atom. Its formation energy is 1.04 eV per atom.

Number 1: spin magnetization 5.000 μB/f.u.. Number 2: spin magnetization 3.129 μB/f.u.. Number 3: spin magnetization 0.000 μB/f.u.. Number 4: spin magnetization 0.000 μB/f.u.. Number 5: spin magnetization 7.297 μB/f.u.. Number 6: spin magnetization 0.000 μB/f.u..